Material: ZrCoRu2
Method: DFT, PBE-GGA
State: relaxed

Computed properties:
Offset from the most stable computed form: 103 meV per atom
M_tot: 3.2 Bohr magnetons per cell
SG: No. 225
Energy of formation: -0.12 eV per formula unit

a b c (Å): 4.422 4.422 4.422
angles (deg): 60.00 60.00 60.00
Fractional positions:
Zr 0.000 0.000 0.000
Co 0.500 0.500 0.500
Ru 0.250 0.250 0.250
Ru 0.750 0.750 0.750

---

Material: TlSn2S
Method: DFT, PBE-GGA
State: relaxed

Computed properties:
Offset from the most stable computed form: 0 meV per atom
M_tot: 0.0 Bohr magnetons per cell
SG: No. 166

a b c (Å): 10.567 10.567 10.567
angles (deg): 19.22 19.22 19.22
Fractional positions:
Tl 0.000 0.000 0.000
Sn 0.105 0.105 0.105
Sn 0.895 0.895 0.895
S 0.500 0.500 0.500

---

Material: LiSc2GaH
Method: DFT, PBE-GGA
State: relaxed

Computed properties:
M_tot: 0.8 Bohr magnetons per cell
SG: No. 123

a b c (Å): 4.521 4.521 3.719
angles (deg): 90.00 90.00 90.00
Fractional positions:
Li 0.000 0.000 0.000
Sc 0.000 0.500 0.500
Sc 0.500 0.000 0.500
Ga 0.500 0.500 0.000
H 0.000 0.000 0.500

---

Material: Ca5Cd4In
Method: DFT, PBE-GGA
State: relaxed

Computed properties:
M_tot: 0.0 Bohr magnetons per cell
SG: No. 123
Energy of formation: -3.85 eV per formula unit

a b c (Å): 3.840 3.840 19.225
angles (deg): 90.00 90.00 90.00
Fractional positions:
Ca 0.000 0.000 0.000
Ca 0.000 0.000 0.201
Ca 0.000 0.000 0.400
Ca 0.000 0.000 0.600
Ca 0.000 0.000 0.799
Cd 0.500 0.500 0.100
Cd 0.500 0.500 0.301
Cd 0.500 0.500 0.699
Cd 0.500 0.500 0.900
In 0.500 0.500 0.500

---

What are the final energy values for these records? In order: -8.583; -3.648; -4.629; -2.025 eV/atom.